Version a
Computed, not measured: a relaxed Ir6Os3Rh crystal at the GGA-PBE level of DFT.

For the density of states at the Fermi level, the calculation gives 0.955 states/eV per atom.

Cell: 9.969 2.732 11.039 Å, 90.00 101.28 90.00°
Positions (direct):
1 Ir 0.009 0.250 0.308
2 Ir 0.153 0.250 0.874
3 Ir 0.239 0.750 0.305
4 Ir 0.274 0.750 0.712
5 Ir 0.306 0.750 0.071
6 Ir 0.374 0.250 0.518
7 Ir 0.626 0.750 0.482
8 Ir 0.694 0.250 0.929
9 Ir 0.726 0.250 0.288
10 Ir 0.761 0.250 0.695
11 Ir 0.847 0.750 0.126
12 Ir 0.991 0.750 0.692
13 Os 0.075 0.250 0.091
14 Os 0.116 0.750 0.501
15 Os 0.425 0.250 0.907
16 Os 0.575 0.750 0.093
17 Os 0.884 0.250 0.499
18 Os 0.925 0.750 0.909
19 Rh 0.462 0.250 0.273
20 Rh 0.538 0.750 0.727

=====

Version b
Computed, not measured: a relaxed Ir6Os3Rh crystal at the GGA-PBE level of DFT.

For the density of states at the Fermi level, the calculation gives 0.856 states/eV per atom.

Cell: 6.200 6.200 6.200 Å, 59.30 59.30 59.30°
Positions (direct):
1 Ir 0.043 0.722 0.235
2 Ir 0.235 0.043 0.722
3 Ir 0.322 0.524 0.826
4 Ir 0.524 0.826 0.322
5 Ir 0.722 0.235 0.043
6 Ir 0.826 0.322 0.524
7 Os 0.410 0.410 0.410
8 Os 0.701 0.701 0.701
9 Os 0.853 0.853 0.853
10 Rh 0.146 0.146 0.146

=====

version b is the least stable structure shown above.